[1]
This record from Alexandria describes an optimized crystal structure of ZrWBr2. The functional is PBE-GGA.

CIF file:
```
data_ZrWBr2
_cell_length_a 3.053
_cell_length_b 4.653
_cell_length_c 5.886
_cell_angle_alpha 90.00
_cell_angle_beta 90.00
_cell_angle_gamma 90.00
_symmetry_space_group_name_H-M 'P 1'
_symmetry_Int_Tables_number 1
loop_
_symmetry_equiv_pos_as_xyz
'x,y,z'
loop_
_atom_site_label
_atom_site_fract_x
_atom_site_fract_y
_atom_site_fract_z
Zr1 0.000 0.000 0.000
W1 0.500 0.000 0.500
Br1 0.000 0.500 0.500
Br2 0.500 0.500 0.000
```

Summary:
The space group is Pmmm, No. 47. For the total magnetization, the calculation gives 0.17 μB/atom. The value obtained for the energy is -5.671 eV/atom. The formation energy without anion corrections comes out at 541 meV per atom.

[2]
This record from Alexandria describes an optimized crystal structure of ZnCl2. The functional is PBE-GGA.

CIF file:
```
data_ZnCl2
_cell_length_a 6.470
_cell_length_b 6.470
_cell_length_c 7.591
_cell_angle_alpha 90.61
_cell_angle_beta 90.61
_cell_angle_gamma 32.01
_symmetry_space_group_name_H-M 'P 1'
_symmetry_Int_Tables_number 1
loop_
_symmetry_equiv_pos_as_xyz
'x,y,z'
loop_
_atom_site_label
_atom_site_fract_x
_atom_site_fract_y
_atom_site_fract_z
Zn1 0.000 0.000 0.000
Zn2 0.731 0.731 0.692
Cl1 0.183 0.183 0.933
Cl2 0.195 0.195 0.501
Cl3 0.461 0.461 0.174
Cl4 0.918 0.918 0.729
```

Summary:
The space group is Cm, No. 8. For the total magnetization, the calculation gives 0.00 μB/atom. The value obtained for the energy is -2.740 eV/atom. The formation energy without anion corrections comes out at -1084 meV per atom.